An optimized crystal structure of Tl5Pt. Source: Alexandria via LeMat-Bulk, functional GGA-PBE.

Cell: 6.1053 6.1053 5.0427 Å, 90.00 90.00 120.00°
Last column: nearest neighbours and their distance in Å.
Space group P-62m (No. 189)
One atom of each set of equivalent atoms:
Tl (0.0000, 0.6988, 0.0000) [3 per cell]  2 Pt 3.12, 6 Tl 3.19-3.31
Tl (0.3333, 0.6667, 0.5000) [2 per cell]  9 Tl 3.31-3.52, 3 Pt 3.52
Pt (0.0000, 0.0000, 0.5000) [1 per cell]  6 Tl 3.12

size of the total moment	0.0	μB/f.u.
energy relative to the elements	90	meV/atom